(1)
# PBE-GGA Pr4Nd2Sm2Er, optimized geometry
data_Pr4Nd2Sm2Er
_chemical_formula_sum 'Pr8 Nd4 Sm4 Er2'
_symmetry_space_group_name_H-M 'C 1 2/m 1'
_symmetry_Int_Tables_number 12
_symmetry_space_group_name_Hall '-C 2y'
_cell_length_a 19.136
_cell_length_b 3.696
_cell_length_c 9.850
_cell_angle_alpha 90.00
_cell_angle_beta 115.47
_cell_angle_gamma 90.00
loop_
_atom_site_label
_atom_site_type_symbol
_atom_site_fract_x
_atom_site_fract_y
_atom_site_fract_z
Pr1 Pr 0.018 0.000 0.330
Pr2 Pr 0.185 0.500 0.331
Nd1 Nd 0.165 0.000 0.998
Sm1 Sm 0.148 0.500 0.669
Er1 Er 0.000 0.500 0.000
# Calculated total energy ... -85.03 eV for the cell shown
# DFT formation energy ... 0.4 kcal/mol of atoms



(2)
# PBE-GGA Pr8CuPt3I4, optimized geometry
data_Pr8CuPt3I4
_chemical_formula_sum 'Pr24 Cu3 Pt9 I12'
_symmetry_space_group_name_H-M 'R -3 m'
_symmetry_Int_Tables_number 166
_symmetry_space_group_name_Hall '-R 3 2"'
_cell_length_a 8.6142
_cell_length_b 8.6142
_cell_length_c 24.3999
_cell_angle_alpha 90.00
_cell_angle_beta 90.00
_cell_angle_gamma 120.00
loop_
_atom_site_label
_atom_site_type_symbol
_atom_site_fract_x
_atom_site_fract_y
_atom_site_fract_z
Pr1 Pr 0.0000 0.0000 0.2297
Pr2 Pr 0.0023 0.5011 0.7709
Cu1 Cu 0.0000 0.0000 0.5000
Pt1 Pt 0.0000 0.5000 0.5000
I1 I 0.0000 0.0000 0.0000
I2 I 0.0000 0.5000 0.0000
# Calculated total energy ... -245.92 eV for the cell shown
# Formation energy from raw total energies ... -0.96 eV per atom



(3)
# PBE-GGA Tb2Sm2Sc3, optimized geometry
data_Tb2Sm2Sc3
_chemical_formula_sum 'Tb4 Sm4 Sc6'
_symmetry_space_group_name_H-M 'P 1 21/c 1'
_symmetry_Int_Tables_number 14
_symmetry_space_group_name_Hall '-P 2ybc'
_cell_length_a 5.522
_cell_length_b 12.110
_cell_length_c 6.229
_cell_angle_alpha 90.00
_cell_angle_beta 92.11
_cell_angle_gamma 90.00
loop_
_atom_site_label
_atom_site_type_symbol
_atom_site_fract_x
_atom_site_fract_y
_atom_site_fract_z
Tb1 Tb 0.036 0.156 0.003
Sm1 Sm 0.459 0.679 0.162
Sc1 Sc 0.000 0.000 0.500
Sc2 Sc 0.471 0.557 0.711
# Calculated total energy ... -73.11 eV for the cell shown
# Polymorph energy (0 for the lowest one) ... 0 meV/atom
# DFT formation energy ... 3.7 kcal/mol of atoms



(4)
# PBE-GGA Mg2HSe, optimized geometry
data_Mg2HSe
_chemical_formula_sum 'Mg8 H4 Se4'
_symmetry_space_group_name_H-M 'F m -3 m'
_symmetry_Int_Tables_number 225
_symmetry_space_group_name_Hall '-F 4 2 3'
_cell_length_a 6.513
_cell_length_b 6.513
_cell_length_c 6.513
_cell_angle_alpha 90.00
_cell_angle_beta 90.00
_cell_angle_gamma 90.00
loop_
_atom_site_label
_atom_site_type_symbol
_atom_site_fract_x
_atom_site_fract_y
_atom_site_fract_z
Mg1 Mg 0.250 0.250 0.250
H1 H 0.000 0.000 0.000
Se1 Se 0.000 0.000 0.500
# Calculated total energy ... -42.86 eV for the cell shown
# Polymorph energy (0 for the lowest one) ... 219 meV/atom



(5)
# PBE-GGA SrAlCd2Au4, optimized geometry
data_SrAlCd2Au4
_chemical_formula_sum 'Sr3 Al3 Cd6 Au12'
_symmetry_space_group_name_H-M 'R -3 m'
_symmetry_Int_Tables_number 166
_symmetry_space_group_name_Hall '-R 3 2"'
_cell_length_a 4.7241
_cell_length_b 4.7241
_cell_length_c 26.9442
_cell_angle_alpha 90.00
_cell_angle_beta 90.00
_cell_angle_gamma 120.00
loop_
_atom_site_label
_atom_site_type_symbol
_atom_site_fract_x
_atom_site_fract_y
_atom_site_fract_z
Sr1 Sr 0.0000 0.0000 0.0000
Al1 Al 0.0000 0.0000 0.5000
Cd1 Cd 0.0000 0.0000 0.2466
Au1 Au 0.0000 0.0000 0.1377
Au2 Au 0.0000 0.0000 0.4014
# Calculated total energy ... -70.18 eV for the cell shown
# DFT formation energy ... -8.7 kcal/mol of atoms



(6)
# PBE-GGA TiMn3Cu, optimized geometry
data_TiMn3Cu
_chemical_formula_sum 'Ti1 Mn3 Cu1'
_symmetry_space_group_name_H-M 'P m -3 m'
_symmetry_Int_Tables_number 221
_symmetry_space_group_name_Hall '-P 4 2 3'
_cell_length_a 4.442
_cell_length_b 4.442
_cell_length_c 4.442
_cell_angle_alpha 90.00
_cell_angle_beta 90.00
_cell_angle_gamma 90.00
loop_
_atom_site_label
_atom_site_type_symbol
_atom_site_fract_x
_atom_site_fract_y
_atom_site_fract_z
Ti1 Ti 0.000 0.000 0.000
Mn1 Mn 0.000 0.000 0.500
Cu1 Cu 0.500 0.500 0.500
# Calculated total energy ... -33.47 eV for the cell shown
# Polymorph energy (0 for the lowest one) ... 284 meV/atom
# DFT formation energy ... 27.8 kcal/mol of atoms



(7)
# PBE-GGA YFeS2Cl, optimized geometry
data_YFeS2Cl
_chemical_formula_sum 'Y1 Fe1 S2 Cl1'
_symmetry_space_group_name_H-M 'P 4/m m m'
_symmetry_Int_Tables_number 123
_symmetry_space_group_name_Hall '-P 4 2'
_cell_length_a 4.610
_cell_length_b 4.610
_cell_length_c 4.482
_cell_angle_alpha 90.00
_cell_angle_beta 90.00
_cell_angle_gamma 90.00
loop_
_atom_site_label
_atom_site_type_symbol
_atom_site_fract_x
_atom_site_fract_y
_atom_site_fract_z
Y1 Y 0.000 0.000 0.000
Fe1 Fe 0.500 0.500 0.500
S1 S 0.000 0.500 0.500
Cl1 Cl 0.500 0.500 0.000
# Calculated total energy ... -28.93 eV for the cell shown
# Polymorph energy (0 for the lowest one) ... 0 meV/atom
# Formation energy from raw total energies ... -0.78 eV per atom



(8)
# PBE-GGA Ca2ZnAs, optimized geometry
data_Ca2ZnAs
_chemical_formula_sum 'Ca4 Zn2 As2'
_symmetry_space_group_name_H-M 'A m m 2'
_symmetry_Int_Tables_number 38
_symmetry_space_group_name_Hall 'A 2 -2'
_cell_length_a 4.208
_cell_length_b 4.318
_cell_length_c 11.054
_cell_angle_alpha 90.00
_cell_angle_beta 90.00
_cell_angle_gamma 90.00
loop_
_atom_site_label
_atom_site_type_symbol
_atom_site_fract_x
_atom_site_fract_y
_atom_site_fract_z
Ca1 Ca 0.000 0.000 0.000
Ca2 Ca 0.500 0.000 0.277
Zn1 Zn 0.000 0.000 0.715
As1 As 0.500 0.000 0.560
# Calculated total energy ... -25.88 eV for the cell shown
# Polymorph energy (0 for the lowest one) ... 0 meV/atom
# DFT formation energy ... -17.4 kcal/mol of atoms